No. 1
# AcEuSi | the Alexandria database | PBE | relaxed
# E_form (uncorrected): -188 meV/atom
# ΔE to the lowest computed polymorph: 168.9 meV/atom
data_AcEuSi
_chemical_formula_sum 'Ac1 Eu1 Si1'
_cell_length_a 4.4993
_cell_length_b 4.4993
_cell_length_c 6.8813
_cell_angle_alpha 90.00
_cell_angle_beta 90.00
_cell_angle_gamma 120.00
_symmetry_space_group_name_H-M 'P 3 m 1'
_symmetry_Int_Tables_number 156
_symmetry_space_group_name_Hall 'P 3 -2"'
loop_
_atom_site_label
_atom_site_type_symbol
_atom_site_fract_x
_atom_site_fract_y
_atom_site_fract_z
Ac1 Ac 0.0000 0.0000 0.0000
Eu1 Eu 0.6667 0.3333 0.5280
Si1 Si 0.3333 0.6667 0.7607



No. 2
# HoHf2Sc3N6 | the Alexandria database | PBE | relaxed
# E_form (uncorrected): -1878 meV/atom
data_HoHf2Sc3N6
_chemical_formula_sum 'Ho2 Hf4 Sc6 N12'
_cell_length_a 14.0990
_cell_length_b 3.2406
_cell_length_c 6.4851
_cell_angle_alpha 90.00
_cell_angle_beta 102.98
_cell_angle_gamma 90.00
_symmetry_space_group_name_H-M 'C 1 2/m 1'
_symmetry_Int_Tables_number 12
_symmetry_space_group_name_Hall '-C 2y'
loop_
_atom_site_label
_atom_site_type_symbol
_atom_site_fract_x
_atom_site_fract_y
_atom_site_fract_z
Ho1 Ho 0.0000 0.0000 0.0000
Hf1 Hf 0.1670 0.5000 0.3345
Sc1 Sc 0.0000 0.0000 0.5000
Sc2 Sc 0.1670 0.5000 0.8330
N1 N 0.0038 0.5000 0.2634
N2 N 0.1690 0.0000 0.5798
N3 N 0.1714 0.0000 0.0935



No. 3
# CaYTm4Te8 | the Alexandria database | PBE | relaxed
# E_form (uncorrected): -1291 meV/atom
data_CaYTm4Te8
_chemical_formula_sum 'Ca3 Y3 Tm12 Te24'
_cell_length_a 9.0180
_cell_length_b 9.0180
_cell_length_c 22.1618
_cell_angle_alpha 90.00
_cell_angle_beta 90.00
_cell_angle_gamma 120.00
_symmetry_space_group_name_H-M 'R 3 m'
_symmetry_Int_Tables_number 160
_symmetry_space_group_name_Hall 'R 3 -2"'
loop_
_atom_site_label
_atom_site_type_symbol
_atom_site_fract_x
_atom_site_fract_y
_atom_site_fract_z
Ca1 Ca 0.0000 0.0000 0.0000
Y1 Y 0.0000 0.0000 0.6281
Tm1 Tm 0.0000 0.0000 0.2512
Tm2 Tm 0.1693 0.3386 0.4585
Te1 Te 0.0000 0.0000 0.3842
Te2 Te 0.0000 0.0000 0.8651
Te3 Te 0.0249 0.5125 0.3806
Te4 Te 0.1763 0.3525 0.2056



No. 4
# AlCuSe2 | the Alexandria database | PBE | relaxed
# E_form (uncorrected): -369 meV/atom
data_AlCuSe2
_chemical_formula_sum 'Al1 Cu1 Se2'
_cell_length_a 3.5482
_cell_length_b 3.5482
_cell_length_c 6.8615
_cell_angle_alpha 90.00
_cell_angle_beta 90.00
_cell_angle_gamma 90.00
_symmetry_space_group_name_H-M 'P 4 m m'
_symmetry_Int_Tables_number 99
_symmetry_space_group_name_Hall 'P 4 -2'
loop_
_atom_site_label
_atom_site_type_symbol
_atom_site_fract_x
_atom_site_fract_y
_atom_site_fract_z
Al1 Al 0.0000 0.0000 0.0000
Cu1 Cu 0.5000 0.5000 0.2874
Se1 Se 0.0000 0.0000 0.3507
Se2 Se 0.5000 0.5000 0.8836



No. 5
# TaCoOsRu | the Alexandria database | PBE | relaxed
# Formation energy: -182 meV per atom
data_TaCoOsRu
_chemical_formula_sum 'Ta1 Co1 Os1 Ru1'
_cell_length_a 3.8135
_cell_length_b 3.8363
_cell_length_c 3.8573
_cell_angle_alpha 90.00
_cell_angle_beta 90.00
_cell_angle_gamma 90.00
_symmetry_space_group_name_H-M 'P m m m'
_symmetry_Int_Tables_number 47
_symmetry_space_group_name_Hall '-P 2 2'
loop_
_atom_site_label
_atom_site_type_symbol
_atom_site_fract_x
_atom_site_fract_y
_atom_site_fract_z
Ta1 Ta 0.0000 0.0000 0.0000
Co1 Co 0.5000 0.0000 0.5000
Os1 Os 0.0000 0.5000 0.5000
Ru1 Ru 0.5000 0.5000 0.0000



No. 6
# PrY7Ho2 | the Alexandria database | PBE | relaxed
# Formation energy: 23 meV per atom
# ΔE to the lowest computed polymorph: 0.0 meV/atom
data_PrY7Ho2
_chemical_formula_sum 'Pr1 Y7 Ho2'
_cell_length_a 6.1871
_cell_length_b 6.1949
_cell_length_c 9.4624
_cell_angle_alpha 102.58
_cell_angle_beta 109.02
_cell_angle_gamma 99.64
_symmetry_space_group_name_H-M 'P -1'
_symmetry_Int_Tables_number 2
_symmetry_space_group_name_Hall '-P 1'
loop_
_atom_site_label
_atom_site_type_symbol
_atom_site_fract_x
_atom_site_fract_y
_atom_site_fract_z
Pr1 Pr 0.0000 0.0000 0.0000
Y1 Y 0.0000 0.5000 0.5000
Y2 Y 0.2000 0.5002 0.8993
Y3 Y 0.2014 0.0018 0.4006
Y4 Y 0.3995 0.0000 0.7982
Ho1 Ho 0.4011 0.5007 0.3017



No. 7
# ScSbMo | the Alexandria database | PBE | relaxed
# E_form (uncorrected): 123 meV/atom
# ΔE to the lowest computed polymorph: 396.4 meV/atom
data_ScSbMo
_chemical_formula_sum 'Sc4 Sb4 Mo4'
_cell_length_a 6.4625
_cell_length_b 6.4625
_cell_length_c 6.4625
_cell_angle_alpha 90.00
_cell_angle_beta 90.00
_cell_angle_gamma 90.00
_symmetry_space_group_name_H-M 'F -4 3 m'
_symmetry_Int_Tables_number 216
_symmetry_space_group_name_Hall 'F -4 2 3'
loop_
_atom_site_label
_atom_site_type_symbol
_atom_site_fract_x
_atom_site_fract_y
_atom_site_fract_z
Sc1 Sc 0.0000 0.0000 0.0000
Sb1 Sb 0.2500 0.2500 0.7500
Mo1 Mo 0.0000 0.0000 0.5000



No. 8
# KS | the Alexandria database | PBE | relaxed
# E_form (uncorrected): -271 meV/atom
data_KS
_chemical_formula_sum 'K8 S8'
_cell_length_a 9.5248
_cell_length_b 9.5248
_cell_length_c 9.5248
_cell_angle_alpha 90.00
_cell_angle_beta 90.00
_cell_angle_gamma 90.00
_symmetry_space_group_name_H-M 'I -4 3 m'
_symmetry_Int_Tables_number 217
_symmetry_space_group_name_Hall 'I -4 2 3'
loop_
_atom_site_label
_atom_site_type_symbol
_atom_site_fract_x
_atom_site_fract_y
_atom_site_fract_z
K1 K 0.1870 0.1870 0.8130
S1 S 0.1253 0.1253 0.1253



No. 9
# Ba2AgPd2 | the Alexandria database | PBE | relaxed
# Formation energy: -384 meV per atom
# ΔE to the lowest computed polymorph: 81.8 meV/atom
data_Ba2AgPd2
_chemical_formula_sum 'Ba4 Ag2 Pd4'
_cell_length_a 8.0425
_cell_length_b 8.0425
_cell_length_c 4.4533
_cell_angle_alpha 90.00
_cell_angle_beta 90.00
_cell_angle_gamma 90.00
_symmetry_space_group_name_H-M 'P 4/m b m'
_symmetry_Int_Tables_number 127
_symmetry_space_group_name_Hall '-P 4 2ab'
loop_
_atom_site_label
_atom_site_type_symbol
_atom_site_fract_x
_atom_site_fract_y
_atom_site_fract_z
Ba1 Ba 0.1783 0.3217 0.0000
Ag1 Ag 0.0000 0.0000 0.5000
Pd1 Pd 0.1228 0.6228 0.5000



No. 10
# KTc2Sb | the Alexandria database | PBE | relaxed
# E_form (uncorrected): 390 meV/atom
data_KTc2Sb
_chemical_formula_sum 'K1 Tc2 Sb1'
_cell_length_a 3.0062
_cell_length_b 3.6551
_cell_length_c 8.4085
_cell_angle_alpha 90.00
_cell_angle_beta 90.00
_cell_angle_gamma 90.00
_symmetry_space_group_name_H-M 'P m m 2'
_symmetry_Int_Tables_number 25
_symmetry_space_group_name_Hall 'P 2 -2'
loop_
_atom_site_label
_atom_site_type_symbol
_atom_site_fract_x
_atom_site_fract_y
_atom_site_fract_z
K1 K 0.0000 0.0000 0.0000
Tc1 Tc 0.0000 0.0000 0.5402
Tc2 Tc 0.5000 0.5000 0.6702
Sb1 Sb 0.5000 0.5000 0.3378



No. 11
# Pr4Dy6Ho | the Alexandria database | PBE | relaxed
# Formation energy: 445 meV per atom
# ΔE to the lowest computed polymorph: 153.3 meV/atom
data_Pr4Dy6Ho
_chemical_formula_sum 'Pr8 Dy12 Ho2'
_cell_length_a 7.6934
_cell_length_b 7.6934
_cell_length_c 13.2574
_cell_angle_alpha 90.00
_cell_angle_beta 90.00
_cell_angle_gamma 90.00
_symmetry_space_group_name_H-M 'I -4 2 m'
_symmetry_Int_Tables_number 121
_symmetry_space_group_name_Hall 'I -4 2'
loop_
_atom_site_label
_atom_site_type_symbol
_atom_site_fract_x
_atom_site_fract_y
_atom_site_fract_z
Pr1 Pr 0.1769 0.1769 0.4224
Dy1 Dy 0.0000 0.5000 0.0000
Dy2 Dy 0.2372 0.2372 0.1833
Ho1 Ho 0.0000 0.0000 0.0000



No. 12
# ScZn2Os | the Alexandria database | PBE | relaxed
# Formation energy: -104 meV per atom
# ΔE to the lowest computed polymorph: 166.5 meV/atom
data_ScZn2Os
_chemical_formula_sum 'Sc2 Zn4 Os2'
_cell_length_a 3.9669
_cell_length_b 3.9669
_cell_length_c 7.9966
_cell_angle_alpha 90.00
_cell_angle_beta 90.00
_cell_angle_gamma 90.00
_symmetry_space_group_name_H-M 'I -4 m 2'
_symmetry_Int_Tables_number 119
_symmetry_space_group_name_Hall 'I -4 -2'
loop_
_atom_site_label
_atom_site_type_symbol
_atom_site_fract_x
_atom_site_fract_y
_atom_site_fract_z
Sc1 Sc 0.0000 0.0000 0.0000
Zn1 Zn 0.0000 0.0000 0.5000
Zn2 Zn 0.0000 0.5000 0.7500
Os1 Os 0.0000 0.5000 0.2500



| no. | calculated density (g/cm3) |
| --- | --- |
| 1 | 5.60 |
| 2 | 8.52 |
| 3 | 5.83 |
| 4 | 4.78 |
| 5 | 15.63 |
| 6 | 5.61 |
| 7 | 6.46 |
| 8 | 1.09 |
| 9 | 6.86 |
| 10 | 6.41 |
| 11 | 7.21 |
| 12 | 9.66 |